1.
This record from the Alexandria database describes an optimized crystal structure of RbInCo2As. The functional is PBE.

a b c (Å): 5.0441 5.0441 5.3848
angles (deg): 90.00 90.00 90.00
With the nearest neighbours (Å) after each atom.
Fractional positions:
Rb: 0.0000 0.0000 0.0000  4 As 3.57, 8 Co 3.69
In: 0.5000 0.5000 0.5000  4 Co 2.52, 2 As 2.69
Co: 0.0000 0.5000 0.5000  2 In 2.52
Co: 0.5000 0.0000 0.5000  2 In 2.52
As: 0.5000 0.5000 0.0000  2 In 2.69

Properties
* energy of formation: 1029.7 meV per atom
* total moment: 3.7 μB/cell
* calculated density: 4.8 g/cm3
* E_tot: -3.48 eV/atom
* symmetry: P4/mmm, No. 123


2.
This record from the Alexandria database describes an optimized crystal structure of InCoAs2Rh. The functional is PBE.

a b c (Å): 4.7236 4.7236 4.8442
angles (deg): 90.00 90.00 90.00
With the nearest neighbours (Å) after each atom.
Fractional positions:
In: 0.0000 0.0000 0.0000  4 Co 3.34, 8 As 3.38
Co: 0.5000 0.5000 0.0000  2 Rh 2.42
As: 0.0000 0.5000 0.5000  2 Rh 2.36
As: 0.5000 0.0000 0.5000  2 Rh 2.36
Rh: 0.5000 0.5000 0.5000  4 As 2.36, 2 Co 2.42

Properties
* energy of formation: 531.8 meV per atom
* total moment: 2.1 μB/cell
* calculated density: 6.6 g/cm3
* E_tot: -4.77 eV/atom
* symmetry: P4/mmm, No. 123


3.
This record from the Alexandria database describes an optimized crystal structure of InCoAsSe2. The functional is PBE.

a b c (Å): 5.3008 5.3008 5.1586
angles (deg): 90.00 90.00 90.00
With the nearest neighbours (Å) after each atom.
Fractional positions:
In: 0.0000 0.0000 0.0000  2 As 2.58, 4 Se 2.65
Co: 0.5000 0.5000 0.5000  8 Se 3.70, 4 As 3.75
As: 0.0000 0.0000 0.5000  2 In 2.58
Se: 0.0000 0.5000 0.0000  2 In 2.65
Se: 0.5000 0.0000 0.0000  2 In 2.65

Properties
* ΔE_f (raw): 1.1722 eV per atom
* total moment: 3.2 μB/cell
* calculated density: 4.7 g/cm3
* E above lowest polymorph: 95.5 kJ per mole of atoms
* E_tot: -3.12 eV/atom
* symmetry: P4/mmm, No. 123


4.
This record from the Alexandria database describes an optimized crystal structure of InCoAsSe2. The functional is PBE.

a b c (Å): 4.9564 4.9564 4.3632
angles (deg): 90.00 90.00 90.00
With the nearest neighbours (Å) after each atom.
Fractional positions:
In: 0.0000 0.0000 0.0000  8 Se 3.30, 4 As 3.50
Co: 0.5000 0.5000 0.5000  2 As 2.18
As: 0.5000 0.5000 0.0000  2 Co 2.18
Se: 0.0000 0.5000 0.5000  2 Co 2.48
Se: 0.5000 0.0000 0.5000  2 Co 2.48

Properties
* ΔE_f (raw): 0.1828 eV per atom
* total moment: 0.0 μB/cell
* calculated density: 6.3 g/cm3
* E above lowest polymorph: 0.0 kJ per mole of atoms
* E_tot: -4.11 eV/atom
* symmetry: P4/mmm, No. 123


5.
This record from the Alexandria database describes an optimized crystal structure of InCoTe2As. The functional is PBE.

a b c (Å): 5.0128 5.0128 4.8922
angles (deg): 90.00 90.00 90.00
With the nearest neighbours (Å) after each atom.
Fractional positions:
In: 0.0000 0.0000 0.0000  2 Co 2.45
Co: 0.0000 0.0000 0.5000  2 In 2.45, 4 Te 2.51
Te: 0.0000 0.5000 0.5000  2 Co 2.51
Te: 0.5000 0.0000 0.5000  2 Co 2.51
As: 0.5000 0.5000 0.0000  8 Te 3.50, 4 In 3.54

Properties
* ΔE_f (raw): 0.3776 eV per atom
* total moment: 0.0 μB/cell
* calculated density: 6.8 g/cm3
* E_tot: -3.78 eV/atom
* symmetry: P4/mmm, No. 123


6.
This record from the Alexandria database describes an optimized crystal structure of ZrIn2CoAs. The functional is PBE.

a b c (Å): 4.8415 4.8415 4.7675
angles (deg): 90.00 90.00 90.00
With the nearest neighbours (Å) after each atom.
Fractional positions:
Zr: 0.0000 0.0000 0.0000  2 Co 2.38
In: 0.0000 0.5000 0.5000  2 Co 2.42
In: 0.5000 0.0000 0.5000  2 Co 2.42
Co: 0.0000 0.0000 0.5000  2 Zr 2.38, 4 In 2.42
As: 0.5000 0.5000 0.0000  8 In 3.40, 4 Zr 3.42

Properties
* energy of formation: 38.5 meV per atom
* total moment: 0.0 μB/cell
* calculated density: 6.8 g/cm3
* E_tot: -5.12 eV/atom
* symmetry: P4/mmm, No. 123


7.
This record from the Alexandria database describes an optimized crystal structure of CoAs2Ir. The functional is PBE.

a b c (Å): 2.9145 2.9145 7.8131
angles (deg): 90.00 90.00 90.00
With the nearest neighbours (Å) after each atom.
Fractional positions:
Co: 0.0000 0.0000 0.0000  4 As 2.42
As: 0.0000 0.0000 0.4308  4 Ir 2.55
As: 0.5000 0.5000 0.8364  4 Co 2.42
Ir: 0.5000 0.5000 0.2381  4 As 2.55, 4 Co 2.78

Properties
* energy of formation: -14.9 meV per atom
* total moment: 0.5 μB/cell
* calculated density: 10.0 g/cm3
* E above lowest polymorph: 15.1 kJ per mole of atoms
* E_tot: -6.33 eV/atom
* symmetry: P4mm, No. 99


8.
This record from the Alexandria database describes an optimized crystal structure of CoAs2Ir. The functional is PBE.

a b c (Å): 3.8170 3.7853 5.8804
angles (deg): 90.00 93.97 90.00
With the nearest neighbours (Å) after each atom.
Fractional positions:
Co: 0.0000 0.0000 0.0000  4 As 2.40
As: 0.0272 0.5000 0.2512  2 Co 2.40, 2 Ir 2.40
As: 0.4731 0.0000 0.7511  2 Ir 2.40, 2 Co 2.40
Ir: 0.5007 0.5000 0.0027  4 As 2.40, 2 Co 2.69

Properties
* energy of formation: -171.8 meV per atom
* total moment: 0.0 μB/cell
* calculated density: 7.9 g/cm3
* E above lowest polymorph: 0.0 kJ per mole of atoms
* E_tot: -6.49 eV/atom
* symmetry: Pm, No. 6